A plane-wave DFT calculation with PBE with a Hubbard U was carried out for a geometry-optimized K2VMoF6 structure.

* total DFT energy (no corrections): -5.250 eV/atom
* size of the total moment: 10.0 μB per cell

Lattice parameters (Å, degrees): 6.0330 6.2492 8.5392 90.00 90.00 90.00
Space group Immm (No. 71)
Symmetry-distinct sites (fractional):
K  0.0000  0.0000  0.2458
V  0.0000  0.5000  0.5000
Mo  0.0000  0.5000  0.0000
F  0.0000  0.5000  0.2528
F  0.2493  0.2647  0.5000